This record from the Alexandria database describes a relaxed NiSbO2 crystal. The functional is PBE+U.

Computed properties:
Symmetry: R-3m, No. 166
Volume: 52.1 Å³ per cell
Theoretical density: 6.77 Mg/m³
Density of states at the Fermi level: 0.77 states/eV/cell
Raw total energy: -5.019 eV/atom
Total moment: 1.893 μB/f.u.

Cell and atoms, written as CIF:
```
data_NiSbO2
_space_group_name_H-M_alt 'P 1'
_space_group_IT_number 1
_space_group_name_Hall 'P 1'
_cell_length_a 6.441
_cell_length_b 6.441
_cell_length_c 6.441
_cell_angle_alpha 28.02
_cell_angle_beta 28.02
_cell_angle_gamma 28.02
loop_
_atom_site_label
_atom_site_type_symbol
_atom_site_fract_x
_atom_site_fract_y
_atom_site_fract_z
Sb1 Sb 0.000 0.000 0.000
O1 O 0.890 0.890 0.890
Ni1 Ni 0.500 0.500 0.500
O2 O 0.110 0.110 0.110
```